VASP calculation (PBE) on an optimized crystal structure of Tb2Y6S3.

a b c (Å): 24.589 24.589 24.589
angles (deg): 8.76 8.76 8.76
Positions (direct):
1 Tb 0.058 0.058 0.058
2 Tb 0.942 0.942 0.942
3 Y 0.143 0.143 0.143
4 Y 0.314 0.314 0.314
5 Y 0.431 0.431 0.431
6 Y 0.569 0.569 0.569
7 Y 0.686 0.686 0.686
8 Y 0.857 0.857 0.857
9 S 0.212 0.212 0.212
10 S 0.500 0.500 0.500
11 S 0.788 0.788 0.788

Summary:
The value obtained for the total energy is -72.0 eV for the cell shown. The crystal system is trigonal.

VASP calculation (PBE) on an optimized crystal structure of Tb3YS3.

a b c (Å): 11.014 11.014 5.494
angles (deg): 90.00 90.00 90.00
Positions (direct):
1 Tb 0.120 0.373 0.000
2 Tb 0.127 0.127 0.500
3 Tb 0.127 0.620 0.500
4 Tb 0.373 0.120 0.000
5 Tb 0.373 0.627 0.000
6 Tb 0.380 0.873 0.500
7 Tb 0.620 0.127 0.500
8 Tb 0.627 0.373 0.000
9 Tb 0.627 0.880 0.000
10 Tb 0.873 0.380 0.500
11 Tb 0.873 0.873 0.500
12 Tb 0.880 0.627 0.000
13 Y 0.122 0.878 0.000
14 Y 0.378 0.378 0.500
15 Y 0.622 0.622 0.500
16 Y 0.878 0.122 0.000
17 S 0.125 0.125 0.000
18 S 0.126 0.627 0.000
19 S 0.127 0.374 0.500
20 S 0.373 0.874 0.000
21 S 0.374 0.127 0.500
22 S 0.375 0.625 0.500
23 S 0.625 0.375 0.500
24 S 0.626 0.873 0.500
25 S 0.627 0.126 0.000
26 S 0.873 0.626 0.500
27 S 0.874 0.373 0.000
28 S 0.875 0.875 0.000

Summary:
The value obtained for the total energy is -178.8 eV for the cell shown. The crystal system is tetragonal.

VASP calculation (PBE) on an optimized crystal structure of TbYS.

a b c (Å): 3.793 3.793 6.324
angles (deg): 90.00 90.00 120.00
Positions (direct):
1 Tb 0.000 0.000 0.000
2 Y 0.667 0.333 0.474
3 S 0.333 0.667 0.735

Summary:
The value obtained for the energy relative to the lowest polymorph listed for this composition is 1 meV/atom. The crystal system is trigonal.

VASP calculation (PBE) on an optimized crystal structure of TbY3S6.

a b c (Å): 11.050 3.959 11.319
angles (deg): 90.00 108.68 90.00
Positions (direct):
1 Tb 0.044 0.250 0.190
2 Tb 0.956 0.750 0.810
3 Y 0.161 0.250 0.584
4 Y 0.317 0.750 0.997
5 Y 0.433 0.250 0.332
6 Y 0.567 0.750 0.668
7 Y 0.683 0.250 0.003
8 Y 0.839 0.750 0.416
9 S 0.082 0.750 0.402
10 S 0.111 0.250 0.962
11 S 0.190 0.750 0.749
12 S 0.254 0.750 0.223
13 S 0.398 0.250 0.563
14 S 0.477 0.250 0.113
15 S 0.523 0.750 0.887
16 S 0.602 0.750 0.437
17 S 0.746 0.250 0.777
18 S 0.810 0.250 0.251
19 S 0.889 0.750 0.038
20 S 0.918 0.250 0.598

Summary:
The value obtained for the energy relative to the lowest polymorph listed for this composition is 0 meV/atom. The crystal system is monoclinic.

VASP calculation (PBE) on an optimized crystal structure of TbY5S6.

a b c (Å): 6.800 6.800 6.781
angles (deg): 99.66 99.66 120.11
Positions (direct):
1 Tb 0.000 0.000 0.000
2 Y 0.166 0.834 0.500
3 Y 0.333 0.667 0.000
4 Y 0.500 0.500 0.500
5 Y 0.667 0.333 0.000
6 Y 0.834 0.166 0.500
7 S 0.083 0.417 0.250
8 S 0.251 0.251 0.750
9 S 0.417 0.083 0.250
10 S 0.583 0.917 0.750
11 S 0.749 0.749 0.250
12 S 0.917 0.583 0.750

Summary:
The value obtained for the total energy is -85.7 eV for the cell shown. The crystal system is monoclinic.

VASP calculation (PBE) on an optimized crystal structure of Tb3YS4.

a b c (Å): 6.816 6.816 3.895
angles (deg): 90.00 90.00 109.13
Positions (direct):
1 Tb 0.000 0.000 0.000
2 Tb 0.000 0.500 0.500
3 Tb 0.500 0.000 0.500
4 Y 0.500 0.500 0.000
5 S 0.250 0.750 0.000
6 S 0.251 0.251 0.500
7 S 0.749 0.749 0.500
8 S 0.750 0.250 0.000

Summary:
The value obtained for the energy relative to the lowest polymorph listed for this composition is 0 meV/atom. The crystal system is orthorhombic.

VASP calculation (PBE) on an optimized crystal structure of Tb2Y3S4.

a b c (Å): 3.879 3.879 15.934
angles (deg): 90.00 90.00 120.00
Positions (direct):
1 Tb 0.333 0.667 0.206
2 Tb 0.667 0.333 0.794
3 Y 0.000 0.000 0.000
4 Y 0.333 0.667 0.591
5 Y 0.667 0.333 0.409
6 S 0.000 0.000 0.307
7 S 0.000 0.000 0.693
8 S 0.333 0.667 0.898
9 S 0.667 0.333 0.102

Summary:
The value obtained for the total energy is -61.1 eV for the cell shown. The crystal system is trigonal.

VASP calculation (PBE) on an optimized crystal structure of Tb3YS4.

a b c (Å): 5.551 5.551 5.551
angles (deg): 90.00 90.00 90.00
Positions (direct):
1 Tb 0.000 0.000 0.500
2 Tb 0.000 0.500 0.000
3 Tb 0.500 0.000 0.000
4 Y 0.500 0.500 0.500
5 S 0.000 0.000 0.000
6 S 0.000 0.500 0.500
7 S 0.500 0.000 0.500
8 S 0.500 0.500 0.000

Summary:
The value obtained for the energy relative to the lowest polymorph listed for this composition is 8 meV/atom. The crystal system is cubic.

VASP calculation (PBE) on an optimized crystal structure of Tb3Y2S8.

a b c (Å): 7.925 7.925 6.718
angles (deg): 107.36 107.36 60.21
Positions (direct):
1 Tb 0.000 0.000 0.000
2 Tb 0.263 0.737 0.500
3 Tb 0.737 0.263 0.500
4 Y 0.262 0.262 0.843
5 Y 0.738 0.738 0.157
6 S 0.109 0.641 0.086
7 S 0.117 0.117 0.430
8 S 0.359 0.891 0.914
9 S 0.381 0.381 0.593
10 S 0.619 0.619 0.407
11 S 0.641 0.109 0.086
12 S 0.883 0.883 0.570
13 S 0.891 0.359 0.914

Summary:
The value obtained for the total energy is -84.2 eV for the cell shown. The crystal system is monoclinic.

VASP calculation (PBE) on an optimized crystal structure of TbY6S8.

a b c (Å): 7.821 7.821 7.821
angles (deg): 60.00 60.00 60.00
Positions (direct):
1 Tb 0.000 0.000 0.000
2 Y 0.000 0.000 0.500
3 Y 0.000 0.500 0.000
4 Y 0.000 0.500 0.500
5 Y 0.500 0.000 0.000
6 Y 0.500 0.000 0.500
7 Y 0.500 0.500 0.000
8 S 0.250 0.250 0.250
9 S 0.251 0.251 0.749
10 S 0.251 0.749 0.251
11 S 0.251 0.749 0.749
12 S 0.749 0.251 0.251
13 S 0.749 0.251 0.749
14 S 0.749 0.749 0.251
15 S 0.750 0.750 0.750

Summary:
The value obtained for the total energy is -107.2 eV for the cell shown. The crystal system is cubic.

VASP calculation (PBE) on an optimized crystal structure of TbY4S6.

a b c (Å): 6.730 6.730 19.862
angles (deg): 90.00 90.00 146.85
Positions (direct):
1 Tb 0.152 0.848 0.750
2 Tb 0.848 0.152 0.250
3 Y 0.091 0.909 0.128
4 Y 0.091 0.909 0.372
5 Y 0.361 0.639 0.040
6 Y 0.361 0.639 0.460
7 Y 0.639 0.361 0.540
8 Y 0.639 0.361 0.960
9 Y 0.909 0.091 0.628
10 Y 0.909 0.091 0.872
11 S 0.000 0.000 0.000
12 S 0.000 0.000 0.500
13 S 0.194 0.806 0.250
14 S 0.270 0.730 0.589
15 S 0.270 0.730 0.911
16 S 0.449 0.551 0.167
17 S 0.449 0.551 0.333
18 S 0.551 0.449 0.667
19 S 0.551 0.449 0.833
20 S 0.730 0.270 0.089
21 S 0.730 0.270 0.411
22 S 0.806 0.194 0.750

Summary:
The value obtained for the total energy is -155.5 eV for the cell shown. The crystal system is orthorhombic.

VASP calculation (PBE) on an optimized crystal structure of Tb3Y5S8.

a b c (Å): 7.847 7.847 7.847
angles (deg): 59.97 59.97 59.97
Positions (direct):
1 Tb 0.000 0.500 0.500
2 Tb 0.500 0.000 0.500
3 Tb 0.500 0.500 0.000
4 Y 0.000 0.000 0.000
5 Y 0.000 0.000 0.500
6 Y 0.000 0.500 0.000
7 Y 0.500 0.000 0.000
8 Y 0.500 0.500 0.500
9 S 0.249 0.750 0.750
10 S 0.250 0.250 0.250
11 S 0.250 0.250 0.751
12 S 0.250 0.751 0.250
13 S 0.750 0.249 0.750
14 S 0.750 0.750 0.249
15 S 0.750 0.750 0.750
16 S 0.751 0.250 0.250

Summary:
The value obtained for the total energy is -111.2 eV for the cell shown. The crystal system is trigonal.

- Number 9 is which compound?
  Tb3Y2S8